No. 1
Here is AlGaCuSe4 after structural relaxation from OQMD. Energies are from PBE.

abc: 7.5029 7.5029 10.5915
angles: 90.00 90.00 90.00
Closest atoms and distances in Å follow each position.
Positions (direct):
Al (0.0000, 0.2471, 0.0000)  6 Se 2.57
Al (0.0000, 0.7529, 0.5000)  6 Se 2.57
Al (0.2471, 0.0000, 0.7500)  6 Se 2.57
Al (0.7529, 0.0000, 0.2500)  6 Se 2.57
Ga (0.2475, 0.5000, 0.7500)  6 Se 2.61
Ga (0.5000, 0.2475, 0.0000)  6 Se 2.61
Ga (0.5000, 0.7525, 0.5000)  6 Se 2.61
Ga (0.7525, 0.5000, 0.2500)  6 Se 2.61
Cu (0.2521, 0.2521, 0.3750)  4 Se 2.40-2.41
Cu (0.2521, 0.7479, 0.1250)  4 Se 2.40-2.41
Cu (0.7479, 0.2521, 0.6250)  4 Se 2.40-2.41
Cu (0.7479, 0.7479, 0.8750)  4 Se 2.40-2.41
Se (0.0097, 0.2461, 0.7574)  1 Cu 2.41, 2 Al 2.57, 1 Ga 2.61
Se (0.0097, 0.7539, 0.7426)  1 Cu 2.41, 2 Al 2.57, 1 Ga 2.61
Se (0.2461, 0.0097, 0.9926)  1 Cu 2.41, 2 Al 2.57, 1 Ga 2.61
Se (0.2458, 0.4851, 0.9958)  1 Cu 2.40, 1 Al 2.57, 2 Ga 2.61
Se (0.2458, 0.5149, 0.5042)  1 Cu 2.40, 1 Al 2.57, 2 Ga 2.61
Se (0.2461, 0.9903, 0.5074)  1 Cu 2.41, 2 Al 2.57, 1 Ga 2.61
Se (0.4851, 0.2458, 0.7542)  1 Cu 2.40, 1 Al 2.57, 2 Ga 2.61
Se (0.4851, 0.7542, 0.7458)  1 Cu 2.40, 1 Al 2.57, 2 Ga 2.61
Se (0.5149, 0.2458, 0.2458)  1 Cu 2.40, 1 Al 2.57, 2 Ga 2.61
Se (0.5149, 0.7542, 0.2542)  1 Cu 2.40, 1 Al 2.57, 2 Ga 2.61
Se (0.7539, 0.0097, 0.0074)  1 Cu 2.41, 2 Al 2.57, 1 Ga 2.61
Se (0.7542, 0.4851, 0.0042)  1 Cu 2.40, 1 Al 2.57, 2 Ga 2.61
Se (0.7542, 0.5149, 0.4958)  1 Cu 2.40, 1 Al 2.57, 2 Ga 2.61
Se (0.7539, 0.9903, 0.4926)  1 Cu 2.41, 2 Al 2.57, 1 Ga 2.61
Se (0.9903, 0.2461, 0.2426)  1 Cu 2.41, 2 Al 2.57, 1 Ga 2.61
Se (0.9903, 0.7539, 0.2574)  1 Cu 2.41, 2 Al 2.57, 1 Ga 2.61

Calculated values
**Calculated volume**: 596 Å³ per cell
**Energy relative to the lowest polymorph listed for this composition**: 0.000 eV/atom

***

No. 2
Here is AlGaCuSe4 after structural relaxation from OQMD. Energies are from PBE.

abc: 7.5189 7.5189 10.7434
angles: 90.00 90.00 90.00
Closest atoms and distances in Å follow each position.
Positions (direct):
Al (0.2460, 0.2460, 0.3750)  4 Se 2.45-2.46
Al (0.2460, 0.7540, 0.1250)  4 Se 2.45-2.46
Al (0.7540, 0.2460, 0.6250)  4 Se 2.45-2.46
Al (0.7540, 0.7540, 0.8750)  4 Se 2.45-2.46
Ga (0.0000, 0.2690, 0.0000)  6 Se 2.57-2.65
Ga (0.0000, 0.7310, 0.5000)  6 Se 2.57-2.65
Ga (0.2690, 0.0000, 0.7500)  6 Se 2.57-2.65
Ga (0.7310, 0.0000, 0.2500)  6 Se 2.57-2.65
Cu (0.2461, 0.5000, 0.7500)  6 Se 2.52-2.60
Cu (0.5000, 0.2461, 0.0000)  6 Se 2.52-2.60
Cu (0.5000, 0.7539, 0.5000)  6 Se 2.52-2.60
Cu (0.7539, 0.5000, 0.2500)  6 Se 2.52-2.60
Se (0.0214, 0.2509, 0.7564)  1 Al 2.46, 1 Cu 2.52, 2 Ga 2.63-2.65
Se (0.0214, 0.7491, 0.7436)  1 Al 2.46, 1 Cu 2.52, 2 Ga 2.63-2.65
Se (0.2509, 0.0214, 0.9936)  1 Al 2.46, 1 Cu 2.52, 2 Ga 2.63-2.65
Se (0.2509, 0.9786, 0.5064)  1 Al 2.46, 1 Cu 2.52, 2 Ga 2.63-2.65
Se (0.2581, 0.4925, 0.9897)  1 Al 2.45, 1 Ga 2.57, 2 Cu 2.58-2.60
Se (0.2581, 0.5075, 0.5103)  1 Al 2.45, 1 Ga 2.57, 2 Cu 2.58-2.60
Se (0.4925, 0.2581, 0.7603)  1 Al 2.45, 1 Ga 2.57, 2 Cu 2.58-2.60
Se (0.4925, 0.7419, 0.7397)  1 Al 2.45, 1 Ga 2.57, 2 Cu 2.58-2.60
Se (0.5075, 0.2581, 0.2397)  1 Al 2.45, 1 Ga 2.57, 2 Cu 2.58-2.60
Se (0.5075, 0.7419, 0.2603)  1 Al 2.45, 1 Ga 2.57, 2 Cu 2.58-2.60
Se (0.7419, 0.4925, 0.0103)  1 Al 2.45, 1 Ga 2.57, 2 Cu 2.58-2.60
Se (0.7419, 0.5075, 0.4897)  1 Al 2.45, 1 Ga 2.57, 2 Cu 2.58-2.60
Se (0.7491, 0.0214, 0.0064)  1 Al 2.46, 1 Cu 2.52, 2 Ga 2.63-2.65
Se (0.7491, 0.9786, 0.4936)  1 Al 2.46, 1 Cu 2.52, 2 Ga 2.63-2.65
Se (0.9786, 0.2509, 0.2436)  1 Al 2.46, 1 Cu 2.52, 2 Ga 2.63-2.65
Se (0.9786, 0.7491, 0.2564)  1 Al 2.46, 1 Cu 2.52, 2 Ga 2.63-2.65

Calculated values
**Calculated volume**: 607 Å³ per cell
**Energy relative to the lowest polymorph listed for this composition**: 0.072 eV/atom

***

No. 3
Here is SrAl2GaCu2 after structural relaxation from OQMD. Energies are from PBE.

abc: 6.6560 6.6560 5.1766
angles: 90.00 90.00 75.96
Closest atoms and distances in Å follow each position.
Positions (direct):
Sr (0.1640, 0.8360, 0.7500)  6 Al 3.32-3.34, 3 Ga 3.36, 4 Cu 3.60
Sr (0.8360, 0.1640, 0.2500)  6 Al 3.32-3.34, 3 Ga 3.36, 4 Cu 3.60
Al (0.0314, 0.5773, 0.2500)  4 Cu 2.49-2.59, 1 Ga 2.62
Al (0.4227, 0.9686, 0.2500)  4 Cu 2.49-2.59, 1 Ga 2.62
Al (0.5773, 0.0314, 0.7500)  4 Cu 2.49-2.59, 1 Ga 2.62
Al (0.9686, 0.4227, 0.7500)  4 Cu 2.49-2.59, 1 Ga 2.62
Ga (0.4262, 0.5738, 0.2500)  4 Cu 2.59, 2 Al 2.62, 2 Ga 2.86
Ga (0.5738, 0.4262, 0.7500)  4 Cu 2.59, 2 Al 2.62, 2 Ga 2.86
Cu (0.2937, 0.2937, 0.0000)  4 Al 2.49-2.59, 2 Cu 2.59, 2 Ga 2.59
Cu (0.2937, 0.2937, 0.5000)  4 Al 2.49-2.59, 2 Cu 2.59, 2 Ga 2.59
Cu (0.7063, 0.7063, 0.0000)  4 Al 2.49-2.59, 2 Cu 2.59, 2 Ga 2.59
Cu (0.7063, 0.7063, 0.5000)  4 Al 2.49-2.59, 2 Cu 2.59, 2 Ga 2.59

Calculated values
**Calculated volume**: 222 Å³ per cell
**E**: -3.579 eV per atom

***

No. 4
Here is SrAlGa2Cu2 after structural relaxation from OQMD. Energies are from PBE.

abc: 6.6327 6.6327 5.1684
angles: 90.00 90.00 76.31
Closest atoms and distances in Å follow each position.
Positions (direct):
Sr (0.1629, 0.8371, 0.7500)  6 Ga 3.30-3.36, 3 Al 3.33-3.39, 4 Cu 3.60
Sr (0.8371, 0.1629, 0.2500)  6 Ga 3.30-3.36, 3 Al 3.33-3.39, 4 Cu 3.60
Al (0.4309, 0.5691, 0.2500)  4 Cu 2.56, 2 Ga 2.62, 2 Al 2.82
Al (0.5691, 0.4309, 0.7500)  4 Cu 2.56, 2 Ga 2.62, 2 Al 2.82
Ga (0.0321, 0.5870, 0.2500)  4 Cu 2.49-2.62, 1 Al 2.62
Ga (0.4130, 0.9679, 0.2500)  4 Cu 2.49-2.62, 1 Al 2.62
Ga (0.5870, 0.0321, 0.7500)  4 Cu 2.49-2.62, 1 Al 2.62
Ga (0.9679, 0.4130, 0.7500)  4 Cu 2.49-2.62, 1 Al 2.62
Cu (0.2954, 0.2954, 0.0000)  4 Ga 2.49-2.62, 2 Al 2.56, 2 Cu 2.58
Cu (0.2954, 0.2954, 0.5000)  4 Ga 2.49-2.62, 2 Al 2.56, 2 Cu 2.58
Cu (0.7046, 0.7046, 0.0000)  4 Ga 2.49-2.62, 2 Al 2.56, 2 Cu 2.58
Cu (0.7046, 0.7046, 0.5000)  4 Ga 2.49-2.62, 2 Al 2.56, 2 Cu 2.58

Calculated values
**Calculated volume**: 221 Å³ per cell
**E**: -3.484 eV per atom